1.
ZrCuAs | PBE-GGA | relaxed

Cell and atoms, written as POSCAR:
```
ZrCuAs
1.0
3.0570 0.0000 0.0000
-1.5285 2.6474 0.0000
0.0000 0.0000 6.6749
Zr Cu As
1 1 1
Direct
0.0000 0.0000 0.0000 Zr
0.3333 0.6667 0.6590 Cu
0.6667 0.3333 0.3497 As
```

Properties
Space group: P3m1 (156)
ΔE_f: -0.0133 eV per atom
Crystal system: trigonal
V: 54.0 Å³/cell

---

2.
Er12ScNi6 | PBE-GGA | relaxed

Cell and atoms, written as POSCAR:
```
Er12ScNi6
1.0
-4.8460 4.8460 4.8460
4.8460 -4.8460 4.8460
4.8460 4.8460 -4.8460
Er Sc Ni
12 1 6
Direct
0.1225 0.3070 0.8156 Er
0.1844 0.4914 0.3070 Er
0.1844 0.8775 0.6930 Er
0.3070 0.1844 0.4914 Er
0.3070 0.8156 0.1225 Er
0.4914 0.3070 0.1844 Er
0.5086 0.6930 0.8156 Er
0.6930 0.1844 0.8775 Er
0.6930 0.8156 0.5086 Er
0.8156 0.1225 0.3070 Er
0.8156 0.5086 0.6930 Er
0.8775 0.6930 0.1844 Er
0.0000 0.0000 0.0000 Sc
0.1239 0.5000 0.6239 Ni
0.3761 0.8761 0.5000 Ni
0.5000 0.3761 0.8761 Ni
0.5000 0.6239 0.1239 Ni
0.6239 0.1239 0.5000 Ni
0.8761 0.5000 0.3761 Ni
```

Properties
Space group: Im-3 (204)
ΔE_f: -0.2611 eV per atom
Crystal system: cubic
V: 455.2 Å³/cell